1.
{
  "formula": "TaSbPt2",
  "functional": "GGA-PBE",
  "state": "optimized geometry",
  "spacegroup": "No. 12",
  "lattice": [[4.737, -1.524, 0.000], [4.737, 1.524, 0.000], [-0.698, 0.000, 4.957]],
  "species": ["Ta", "Sb", "Pt", "Pt"],
  "frac_coords": [[0.000, 0.000, 0.000], [0.500, 0.500, 0.500], [0.259, 0.259, 0.770], [0.741, 0.741, 0.230]]
}



2.
{
  "formula": "TaSb2Pt",
  "functional": "GGA-PBE",
  "state": "optimized geometry",
  "spacegroup": "No. 99",
  "e_above_lowest_polymorph_ev_per_atom": 0.112,
  "lattice": [[3.764, 0.000, 0.000], [0.000, 3.764, 0.000], [0.000, 0.000, 5.791]],
  "species": ["Ta", "Sb", "Sb", "Pt"],
  "frac_coords": [[0.000, 0.000, 0.000], [0.000, 0.000, 0.474], [0.500, 0.500, 0.824], [0.500, 0.500, 0.303]]
}



3.
{
  "formula": "TaSbPt2",
  "functional": "GGA-PBE",
  "state": "optimized geometry",
  "spacegroup": "No. 216",
  "lattice": [[0.000, 3.288, 3.288], [3.288, 0.000, 3.288], [3.288, 3.288, 0.000]],
  "species": ["Ta", "Sb", "Pt", "Pt"],
  "frac_coords": [[0.000, 0.000, 0.000], [0.250, 0.250, 0.250], [0.500, 0.500, 0.500], [0.750, 0.750, 0.750]]
}



4.
{
  "formula": "TaSbPt2",
  "functional": "GGA-PBE",
  "state": "optimized geometry",
  "spacegroup": "No. 123",
  "lattice": [[4.005, 0.000, 0.000], [0.000, 4.005, 0.000], [0.000, 0.000, 4.378]],
  "species": ["Ta", "Sb", "Pt", "Pt"],
  "frac_coords": [[0.000, 0.000, 0.000], [0.500, 0.500, 0.000], [0.000, 0.500, 0.500], [0.500, 0.000, 0.500]]
}



5.
{
  "formula": "Ta2SbPt",
  "functional": "GGA-PBE",
  "state": "optimized geometry",
  "spacegroup": "No. 99",
  "lattice": [[3.021, 0.000, 0.000], [0.000, 3.021, 0.000], [0.000, 0.000, 8.477]],
  "species": ["Ta", "Ta", "Sb", "Pt"],
  "frac_coords": [[0.000, 0.000, 0.000], [0.500, 0.500, 0.249], [0.500, 0.500, 0.733], [0.000, 0.000, 0.453]]
}



6.
{
  "formula": "Ta2SbPt2",
  "functional": "GGA-PBE",
  "state": "optimized geometry",
  "spacegroup": "No. 127",
  "lattice": [[8.058, 0.000, 0.000], [0.000, 8.058, 0.000], [0.000, 0.000, 2.900]],
  "species": ["Ta", "Ta", "Ta", "Ta", "Sb", "Sb", "Pt", "Pt", "Pt", "Pt"],
  "frac_coords": [[0.162, 0.338, 0.000], [0.338, 0.838, 0.000], [0.662, 0.162, 0.000], [0.838, 0.662, 0.000], [0.000, 0.000, 0.500], [0.500, 0.500, 0.500], [0.129, 0.629, 0.500], [0.371, 0.129, 0.500], [0.629, 0.871, 0.500], [0.871, 0.371, 0.500]]
}



7.
{
  "formula": "Ta2SbPt",
  "functional": "GGA-PBE",
  "state": "optimized geometry",
  "spacegroup": "No. 123",
  "lattice": [[4.046, 0.000, 0.000], [0.000, 4.046, 0.000], [0.000, 0.000, 4.415]],
  "species": ["Ta", "Ta", "Sb", "Pt"],
  "frac_coords": [[0.000, 0.500, 0.000], [0.500, 0.000, 0.000], [0.000, 0.000, 0.500], [0.500, 0.500, 0.500]]
}



8.
{
  "formula": "Ta2SbPt",
  "functional": "GGA-PBE",
  "state": "optimized geometry",
  "spacegroup": "No. 25",
  "lattice": [[3.506, 0.000, 0.000], [0.000, 3.574, 0.000], [0.000, 0.000, 5.938]],
  "species": ["Ta", "Ta", "Sb", "Pt"],
  "frac_coords": [[0.000, 0.000, 0.000], [0.500, 0.500, 0.258], [0.500, 0.500, 0.751], [0.000, 0.000, 0.480]]
}



9.
{
  "formula": "Ta2SbPt",
  "functional": "GGA-PBE",
  "state": "optimized geometry",
  "spacegroup": "No. 35",
  "lattice": [[1.870, -2.312, 0.000], [1.870, 2.312, 0.000], [0.000, 0.000, 8.847]],
  "species": ["Ta", "Ta", "Sb", "Pt"],
  "frac_coords": [[0.000, 0.000, 0.000], [0.500, 0.500, 0.247], [0.500, 0.500, 0.741], [0.000, 0.000, 0.465]]
}



10.
{
  "formula": "TaSbPt2",
  "functional": "GGA-PBE",
  "state": "optimized geometry",
  "spacegroup": "No. 6",
  "lattice": [[2.917, 0.000, 0.000], [0.000, 4.567, 0.000], [-0.002, 0.000, 5.496]],
  "species": ["Ta", "Sb", "Pt", "Pt"],
  "frac_coords": [[0.000, 0.000, 0.000], [0.502, 0.500, 0.313], [0.500, 0.000, 0.549], [0.500, 0.500, 0.837]]
}



11.
{
  "formula": "TaSb3Pt",
  "functional": "GGA-PBE",
  "state": "optimized geometry",
  "spacegroup": "No. 221",
  "e_above_lowest_polymorph_ev_per_atom": 0.000,
  "lattice": [[5.259, 0.000, 0.000], [0.000, 5.259, 0.000], [0.000, 0.000, 5.259]],
  "species": ["Ta", "Sb", "Sb", "Sb", "Pt"],
  "frac_coords": [[0.000, 0.000, 0.000], [0.000, 0.000, 0.500], [0.000, 0.500, 0.000], [0.500, 0.000, 0.000], [0.500, 0.500, 0.500]]
}



12.
{
  "formula": "TaSb2Pt",
  "functional": "GGA-PBE",
  "state": "optimized geometry",
  "spacegroup": "No. 216",
  "e_above_lowest_polymorph_ev_per_atom": 0.532,
  "lattice": [[0.000, 3.457, 3.457], [3.457, 0.000, 3.457], [3.457, 3.457, 0.000]],
  "species": ["Ta", "Sb", "Sb", "Pt"],
  "frac_coords": [[0.000, 0.000, 0.000], [0.250, 0.250, 0.250], [0.500, 0.500, 0.500], [0.750, 0.750, 0.750]]
}



| no. | theoretical density (Mg/m³) | uncorrected formation energy (eV/atom) |
| --- | --- | --- |
| 1 | 16.08 | -0.212 |
| 2 | 12.54 | -0.078 |
| 3 | 16.18 | -0.154 |
| 4 | 16.38 | -0.209 |
| 5 | 14.57 | -0.078 |
| 6 | 15.41 | -0.214 |
| 7 | 15.59 | -0.163 |
| 8 | 15.15 | -0.177 |
| 9 | 14.73 | -0.099 |
| 10 | 15.72 | -0.273 |
| 11 | 8.46 | 0.793 |
| 12 | 12.45 | 0.342 |